No. 1
{
  "formula": "InSi2PH24C8",
  "functional": "PBEsol",
  "state": "optimized geometry",
  "cell": [[9.2970, 0.0000, 0.0000], [1.5256, 9.5880, 0.0000], [4.3655, 1.4976, 8.6378]],
  "species": ["In", "In", "Si", "Si", "Si", "Si", "P", "P", "H", "H", "H", "H", "H", "H", "H", "H", "H", "H", "H", "H", "H", "H", "H", "H", "H", "H", "H", "H", "H", "H", "H", "H", "H", "H", "H", "H", "H", "H", "H", "H", "H", "H", "H", "H", "H", "H", "H", "H", "H", "H", "H", "H", "H", "H", "H", "H", "C", "C", "C", "C", "C", "C", "C", "C", "C", "C", "C", "C", "C", "C", "C", "C"],
  "frac_coords": [[0.0337, 0.0758, 0.1471], [0.9663, 0.9242, 0.8529], [0.1743, 0.6645, 0.1367], [0.2593, 0.2439, 0.6918], [0.7407, 0.7561, 0.3082], [0.8257, 0.3355, 0.8633], [0.0207, 0.1719, 0.8800], [0.9793, 0.8281, 0.1200], [0.0062, 0.4591, 0.2913], [0.0760, 0.4614, 0.0890], [0.1128, 0.6790, 0.4090], [0.1291, 0.7477, 0.6406], [0.1654, 0.3807, 0.4940], [0.1925, 0.9228, 0.5539], [0.2092, 0.4021, 0.1799], [0.2103, 0.1983, 0.4753], [0.2322, 0.4955, 0.7326], [0.2644, 0.7949, 0.2750], [0.2735, 0.8139, 0.6799], [0.2787, 0.0647, 0.2344], [0.3145, 0.6090, 0.3086], [0.3224, 0.3785, 0.8454], [0.3282, 0.1799, 0.0522], [0.3376, 0.6620, 0.8550], [0.3584, 0.9924, 0.0599], [0.3696, 0.3129, 0.4059], [0.3874, 0.9999, 0.6629], [0.3937, 0.8003, 0.9121], [0.4209, 0.0663, 0.8021], [0.4377, 0.4306, 0.6424], [0.4603, 0.6211, 0.9582], [0.4665, 0.8731, 0.3998], [0.5335, 0.1269, 0.6002], [0.5397, 0.3789, 0.0418], [0.5623, 0.5694, 0.3576], [0.5791, 0.9337, 0.1979], [0.6063, 0.1997, 0.0879], [0.6126, 0.0001, 0.3371], [0.6304, 0.6871, 0.5941], [0.6416, 0.0076, 0.9401], [0.6624, 0.3380, 0.1450], [0.6718, 0.8201, 0.9478], [0.6776, 0.6215, 0.1546], [0.6855, 0.3910, 0.6914], [0.7213, 0.9353, 0.7656], [0.7265, 0.1861, 0.3201], [0.7356, 0.2051, 0.7250], [0.7678, 0.5045, 0.2674], [0.7897, 0.8017, 0.5247], [0.7908, 0.5979, 0.8201], [0.8075, 0.0772, 0.4461], [0.8346, 0.6193, 0.5060], [0.8709, 0.2523, 0.3594], [0.8872, 0.3210, 0.5910], [0.9240, 0.5386, 0.9110], [0.9938, 0.5409, 0.7087], [0.1099, 0.4802, 0.1775], [0.1646, 0.8423, 0.6595], [0.2204, 0.6894, 0.2972], [0.2494, 0.2881, 0.4995], [0.2787, 0.0777, 0.1197], [0.3168, 0.4023, 0.7324], [0.3581, 0.6903, 0.9477], [0.4140, 0.0947, 0.6897], [0.5860, 0.9053, 0.3103], [0.6419, 0.3097, 0.0523], [0.6832, 0.5977, 0.2676], [0.7213, 0.9223, 0.8803], [0.7506, 0.7119, 0.5005], [0.7796, 0.3106, 0.7028], [0.8354, 0.1577, 0.3405], [0.8901, 0.5198, 0.8225]],
  "crystal_system": "triclinic",
  "spacegroup": "P-1"
}

=====

No. 2
{
  "formula": "KMgH9C2O10",
  "functional": "PBEsol",
  "state": "optimized geometry",
  "cell": [[5.2479, 0.0000, 0.0000], [-1.8977, 6.3443, 0.0000], [-0.0984, -3.2265, 6.2560]],
  "species": ["K", "Mg", "H", "H", "H", "H", "H", "H", "H", "H", "H", "C", "C", "O", "O", "O", "O", "O", "O", "O", "O", "O", "O"],
  "frac_coords": [[0.0000, 0.0000, 0.0000], [0.5000, 0.5000, 0.5000], [0.0000, 0.5000, 0.0000], [0.0054, 0.6687, 0.4220], [0.2044, 0.2015, 0.5999], [0.3618, 0.7417, 0.8757], [0.4254, 0.9180, 0.7621], [0.5746, 0.0820, 0.2379], [0.6382, 0.2583, 0.1243], [0.7956, 0.7985, 0.4001], [0.9946, 0.3313, 0.5780], [0.3693, 0.7003, 0.2062], [0.6307, 0.2997, 0.7938], [0.1415, 0.2713, 0.5127], [0.1990, 0.6714, 0.0485], [0.2851, 0.5805, 0.3079], [0.3930, 0.1521, 0.7518], [0.4659, 0.7821, 0.7712], [0.5341, 0.2179, 0.2288], [0.6070, 0.8479, 0.2482], [0.7149, 0.4195, 0.6921], [0.8010, 0.3286, 0.9515], [0.8585, 0.7287, 0.4873]],
  "crystal_system": "triclinic",
  "spacegroup": "P-1"
}

=====

No. 3
{
  "formula": "K2MgH8C2O10",
  "functional": "PBEsol",
  "state": "optimized geometry",
  "cell": [[6.8875, 0.0000, 0.0000], [0.0000, 6.2255, 0.0000], [-5.0836, 0.0000, 10.9686]],
  "species": ["K", "K", "K", "K", "Mg", "Mg", "H", "H", "H", "H", "H", "H", "H", "H", "H", "H", "H", "H", "H", "H", "H", "H", "C", "C", "C", "C", "O", "O", "O", "O", "O", "O", "O", "O", "O", "O", "O", "O", "O", "O", "O", "O", "O", "O", "O", "O"],
  "frac_coords": [[0.2284, 0.1515, 0.3177], [0.2284, 0.3485, 0.8177], [0.7716, 0.6515, 0.1823], [0.7716, 0.8485, 0.6823], [0.0000, 0.0000, 0.0000], [0.0000, 0.5000, 0.5000], [0.2037, 0.6595, 0.3677], [0.2037, 0.8405, 0.8677], [0.2147, 0.6983, 0.9869], [0.2147, 0.8017, 0.4869], [0.3026, 0.1697, 0.5832], [0.3026, 0.3303, 0.0832], [0.4301, 0.1091, 0.1132], [0.4301, 0.3909, 0.6132], [0.5699, 0.6091, 0.3868], [0.5699, 0.8909, 0.8868], [0.6974, 0.6697, 0.9168], [0.6974, 0.8303, 0.4168], [0.7853, 0.1983, 0.5131], [0.7853, 0.3017, 0.0131], [0.7963, 0.1595, 0.1323], [0.7963, 0.3405, 0.6323], [0.2603, 0.6524, 0.1844], [0.2603, 0.8476, 0.6844], [0.7397, 0.1524, 0.3156], [0.7397, 0.3476, 0.8156], [0.1149, 0.7190, 0.4105], [0.1149, 0.7810, 0.9105], [0.1253, 0.6916, 0.6537], [0.1253, 0.8084, 0.1537], [0.2879, 0.1734, 0.0584], [0.2879, 0.3266, 0.5584], [0.3198, 0.5621, 0.2904], [0.3198, 0.9379, 0.7904], [0.3382, 0.5822, 0.1098], [0.3382, 0.9178, 0.6098], [0.6618, 0.0822, 0.3902], [0.6618, 0.4178, 0.8902], [0.6802, 0.0621, 0.2096], [0.6802, 0.4379, 0.7096], [0.7121, 0.6734, 0.4416], [0.7121, 0.8266, 0.9416], [0.8747, 0.1916, 0.8463], [0.8747, 0.3084, 0.3463], [0.8851, 0.2190, 0.0895], [0.8851, 0.2810, 0.5895]],
  "crystal_system": "monoclinic",
  "spacegroup": "P2_1/c"
}

=====

No. 4
{
  "formula": "KHCN2",
  "functional": "PBEsol",
  "state": "optimized geometry",
  "cell": [[7.0317, 0.0000, 0.0000], [0.0000, 8.8942, 0.0000], [0.0000, 0.0000, 8.9005]],
  "species": ["K", "K", "K", "K", "K", "K", "K", "K", "H", "H", "H", "H", "H", "H", "H", "H", "C", "C", "C", "C", "C", "C", "C", "C", "N", "N", "N", "N", "N", "N", "N", "N", "N", "N", "N", "N", "N", "N", "N", "N"],
  "frac_coords": [[0.0014, 0.2421, 0.3559], [0.2448, 0.1079, 0.9946], [0.2552, 0.8921, 0.4946], [0.4986, 0.7579, 0.8559], [0.5014, 0.2579, 0.6441], [0.7448, 0.3921, 0.0054], [0.7552, 0.6079, 0.5054], [0.9986, 0.7421, 0.1441], [0.0888, 0.0589, 0.7199], [0.1649, 0.5123, 0.2963], [0.3351, 0.4877, 0.7963], [0.4112, 0.9411, 0.2199], [0.5888, 0.4411, 0.2801], [0.6649, 0.9877, 0.7037], [0.8351, 0.0123, 0.2037], [0.9112, 0.5589, 0.7801], [0.0120, 0.7648, 0.8056], [0.2383, 0.4432, 0.0004], [0.2617, 0.5568, 0.5004], [0.4880, 0.2352, 0.3056], [0.5120, 0.7352, 0.1944], [0.7383, 0.0568, 0.9996], [0.7617, 0.9432, 0.4996], [0.9880, 0.2648, 0.6944], [0.1185, 0.1669, 0.6794], [0.1246, 0.4307, 0.1009], [0.1265, 0.8654, 0.8005], [0.1297, 0.5528, 0.4030], [0.3703, 0.4472, 0.9030], [0.3735, 0.1346, 0.3005], [0.3754, 0.5693, 0.6009], [0.3815, 0.8331, 0.1794], [0.6185, 0.3331, 0.3206], [0.6246, 0.0693, 0.8991], [0.6265, 0.6346, 0.1995], [0.6297, 0.9472, 0.5970], [0.8703, 0.0528, 0.0970], [0.8735, 0.3654, 0.6995], [0.8754, 0.9307, 0.3991], [0.8815, 0.6669, 0.8206]],
  "crystal_system": "orthorhombic",
  "spacegroup": "P2_12_12_1"
}

=====

No. 5
{
  "formula": "KH5C3N2O5",
  "functional": "PBEsol",
  "state": "optimized geometry",
  "cell": [[7.6442, 0.0000, 0.0000], [0.0000, 12.5303, 0.0000], [0.0000, 0.0000, 6.9954]],
  "species": ["K", "K", "K", "K", "H", "H", "H", "H", "H", "H", "H", "H", "H", "H", "H", "H", "H", "H", "H", "H", "H", "H", "H", "H", "C", "C", "C", "C", "C", "C", "C", "C", "C", "C", "C", "C", "N", "N", "N", "N", "N", "N", "N", "N", "O", "O", "O", "O", "O", "O", "O", "O", "O", "O", "O", "O", "O", "O", "O", "O", "O", "O", "O", "O"],
  "frac_coords": [[0.0000, 0.0000, 0.2463], [0.0000, 0.0000, 0.7537], [0.5000, 0.5000, 0.2537], [0.5000, 0.5000, 0.7463], [0.1121, 0.4180, 0.0000], [0.1194, 0.4179, 0.5000], [0.1307, 0.2123, 0.0000], [0.1789, 0.7999, 0.5000], [0.1828, 0.5373, 0.0000], [0.3172, 0.0373, 0.5000], [0.3211, 0.2999, 0.0000], [0.3693, 0.7123, 0.5000], [0.3806, 0.9179, 0.0000], [0.3879, 0.9180, 0.5000], [0.6121, 0.0820, 0.5000], [0.6194, 0.0821, 0.0000], [0.6307, 0.2877, 0.5000], [0.6789, 0.7001, 0.0000], [0.6828, 0.9627, 0.5000], [0.8172, 0.4627, 0.0000], [0.8211, 0.2001, 0.5000], [0.8693, 0.7877, 0.0000], [0.8806, 0.5821, 0.5000], [0.8879, 0.5820, 0.0000], [0.1306, 0.2504, 0.5000], [0.1343, 0.6390, 0.5000], [0.1667, 0.7514, 0.0000], [0.3333, 0.2514, 0.5000], [0.3657, 0.1390, 0.0000], [0.3694, 0.7504, 0.0000], [0.6306, 0.2496, 0.0000], [0.6343, 0.8610, 0.0000], [0.6667, 0.7486, 0.5000], [0.8333, 0.2486, 0.0000], [0.8657, 0.3610, 0.5000], [0.8694, 0.7496, 0.5000], [0.0482, 0.3461, 0.5000], [0.2352, 0.7253, 0.5000], [0.2648, 0.2253, 0.0000], [0.4518, 0.8461, 0.0000], [0.5482, 0.1539, 0.0000], [0.7352, 0.7747, 0.0000], [0.7648, 0.2747, 0.5000], [0.9518, 0.6539, 0.5000], [0.0544, 0.1628, 0.5000], [0.0906, 0.8407, 0.0000], [0.0951, 0.6609, 0.0000], [0.1956, 0.5461, 0.5000], [0.2206, 0.4607, 0.0000], [0.2794, 0.9607, 0.5000], [0.3044, 0.0461, 0.0000], [0.4049, 0.1609, 0.5000], [0.4094, 0.3407, 0.5000], [0.4456, 0.6628, 0.0000], [0.5544, 0.3372, 0.0000], [0.5906, 0.6593, 0.5000], [0.5951, 0.8391, 0.5000], [0.6956, 0.9539, 0.0000], [0.7206, 0.0393, 0.5000], [0.7794, 0.5393, 0.0000], [0.8044, 0.4539, 0.5000], [0.9049, 0.3391, 0.0000], [0.9094, 0.1593, 0.0000], [0.9456, 0.8372, 0.5000]],
  "crystal_system": "orthorhombic",
  "spacegroup": "Pnnm"
}

=====

No. 6
{
  "formula": "KPH6C2N4O4",
  "functional": "PBEsol",
  "state": "optimized geometry",
  "cell": [[0.0000, 6.2210, 5.5387], [5.1801, 0.0000, 5.5387], [5.1801, 6.2210, 0.0000]],
  "species": ["K", "K", "P", "P", "H", "H", "H", "H", "H", "H", "H", "H", "H", "H", "H", "H", "C", "C", "C", "C", "N", "N", "N", "N", "N", "N", "N", "N", "O", "O", "O", "O", "O", "O", "O", "O"],
  "frac_coords": [[0.0000, 0.0000, 0.0000], [0.2500, 0.2500, 0.2500], [0.3209, 0.3209, 0.6791], [0.5709, 0.5709, 0.9291], [0.0696, 0.9001, 0.3835], [0.1469, 0.6257, 0.4373], [0.3026, 0.5723, 0.7923], [0.4577, 0.9172, 0.9474], [0.4599, 0.8127, 0.6243], [0.5723, 0.3026, 0.3328], [0.6032, 0.8665, 0.3499], [0.6257, 0.1469, 0.7901], [0.8127, 0.4599, 0.1031], [0.8665, 0.6032, 0.1804], [0.9001, 0.0696, 0.6468], [0.9172, 0.4577, 0.6777], [0.1842, 0.7482, 0.5907], [0.6593, 0.7731, 0.0658], [0.7482, 0.1842, 0.4769], [0.7731, 0.6593, 0.5018], [0.1451, 0.7561, 0.4486], [0.2626, 0.5601, 0.6976], [0.5524, 0.7703, 0.9874], [0.5601, 0.2626, 0.4797], [0.5997, 0.8014, 0.4939], [0.7561, 0.1451, 0.6503], [0.7703, 0.5524, 0.6899], [0.8014, 0.5997, 0.1049], [0.1515, 0.9127, 0.6273], [0.1803, 0.3265, 0.6150], [0.3265, 0.1803, 0.8782], [0.3718, 0.6350, 0.9235], [0.6227, 0.9415, 0.0985], [0.6350, 0.3718, 0.0697], [0.9127, 0.1515, 0.3085], [0.9415, 0.6227, 0.3373]],
  "crystal_system": "orthorhombic",
  "spacegroup": "Fdd2"
}

=====

No. 7
{
  "formula": "KPH5C2SN3O4",
  "functional": "PBEsol",
  "state": "optimized geometry",
  "cell": [[6.1330, 0.0000, 0.0000], [-1.3053, 6.6247, 0.0000], [-2.3466, -0.6011, 10.3755]],
  "species": ["K", "K", "P", "P", "H", "H", "H", "H", "H", "H", "H", "H", "H", "H", "C", "C", "C", "C", "S", "S", "N", "N", "N", "N", "N", "N", "O", "O", "O", "O", "O", "O", "O", "O"],
  "frac_coords": [[0.0005, 0.3369, 0.3217], [0.9995, 0.6631, 0.6783], [0.4517, 0.2335, 0.7235], [0.5483, 0.7665, 0.2765], [0.0594, 0.8588, 0.9754], [0.3939, 0.6888, 0.4944], [0.4058, 0.4297, 0.8992], [0.4723, 0.5793, 0.6206], [0.4923, 0.1011, 0.3204], [0.5077, 0.8989, 0.6796], [0.5277, 0.4207, 0.3794], [0.5942, 0.5703, 0.1008], [0.6061, 0.3112, 0.5056], [0.9406, 0.1412, 0.0246], [0.2616, 0.9922, 0.1509], [0.3230, 0.7055, 0.0270], [0.6770, 0.2945, 0.9730], [0.7384, 0.0078, 0.8491], [0.1276, 0.1698, 0.6408], [0.8724, 0.8302, 0.3592], [0.2014, 0.8476, 0.0503], [0.4365, 0.9761, 0.2503], [0.4981, 0.3198, 0.8791], [0.5019, 0.6802, 0.1209], [0.5635, 0.0239, 0.7497], [0.7986, 0.1524, 0.9497], [0.1582, 0.1357, 0.1464], [0.2665, 0.6089, 0.9196], [0.3962, 0.6167, 0.3428], [0.3971, 0.6947, 0.5890], [0.6029, 0.3053, 0.4110], [0.6038, 0.3833, 0.6572], [0.7335, 0.3911, 0.0804], [0.8418, 0.8643, 0.8536]],
  "crystal_system": "triclinic",
  "spacegroup": "P-1"
}

=====

No. 8
{
  "formula": "K2H2C2S2N2O",
  "functional": "PBEsol",
  "state": "optimized geometry",
  "cell": [[10.3897, 0.0000, 0.0000], [0.0000, 7.8764, 0.0000], [0.0000, 0.0000, 9.5878]],
  "species": ["K", "K", "K", "K", "K", "K", "K", "K", "H", "H", "H", "H", "H", "H", "H", "H", "C", "C", "C", "C", "C", "C", "C", "C", "S", "S", "S", "S", "S", "S", "S", "S", "N", "N", "N", "N", "N", "N", "N", "N", "O", "O", "O", "O"],
  "frac_coords": [[0.1681, 0.0014, 0.2292], [0.1681, 0.4986, 0.2292], [0.3319, 0.5014, 0.7292], [0.3319, 0.9986, 0.7292], [0.6681, 0.0014, 0.2708], [0.6681, 0.4986, 0.2708], [0.8319, 0.5014, 0.7708], [0.8319, 0.9986, 0.7708], [0.0078, 0.2500, 0.9813], [0.0523, 0.2500, 0.8207], [0.4477, 0.7500, 0.3207], [0.4922, 0.7500, 0.4813], [0.5078, 0.2500, 0.5187], [0.5523, 0.2500, 0.6793], [0.9477, 0.7500, 0.1793], [0.9922, 0.7500, 0.0187], [0.0647, 0.7500, 0.6204], [0.0945, 0.2500, 0.5506], [0.4055, 0.7500, 0.0506], [0.4353, 0.2500, 0.1204], [0.5647, 0.7500, 0.8796], [0.5945, 0.2500, 0.9494], [0.9055, 0.7500, 0.4494], [0.9353, 0.2500, 0.3796], [0.0917, 0.7500, 0.7966], [0.1902, 0.7500, 0.5037], [0.3098, 0.2500, 0.0037], [0.4083, 0.2500, 0.2966], [0.5917, 0.7500, 0.7034], [0.6902, 0.7500, 0.9963], [0.8098, 0.2500, 0.4963], [0.9083, 0.2500, 0.2034], [0.0602, 0.2500, 0.4213], [0.1408, 0.2500, 0.6639], [0.3592, 0.7500, 0.1639], [0.4398, 0.7500, 0.9213], [0.5602, 0.2500, 0.0787], [0.6408, 0.2500, 0.8361], [0.8592, 0.7500, 0.3361], [0.9398, 0.7500, 0.5787], [0.0237, 0.7500, 0.1154], [0.4763, 0.2500, 0.6154], [0.5237, 0.7500, 0.3846], [0.9763, 0.2500, 0.8846]],
  "crystal_system": "orthorhombic",
  "spacegroup": "Pnma"
}

=====

| no. | E (eV per atom) | ρ (g/cm³) |
| --- | --- | --- |
| 1 | -5.068 | 1.390 |
| 2 | -5.948 | 2.045 |
| 3 | -5.938 | 2.080 |
| 4 | -6.590 | 1.912 |
| 5 | -6.579 | 1.865 |
| 6 | -6.584 | 2.048 |
| 7 | -6.458 | 1.869 |
| 8 | -5.957 | 1.798 |